[1]
A plane-wave DFT calculation with PBE-GGA was carried out for RbWSe2Br after structural relaxation.

Computed properties:
The energy relative to the elements, uncorrected comes out at -0.411 eV/atom. Its offset from the most stable computed form is 0 meV per atom.

Unit cell a=4.948 b=4.948 c=5.646 alpha=90.00 beta=90.00 gamma=90.00
Atoms (fractional coordinates):
1 Rb 0.000 0.000 0.000
2 W 0.500 0.500 0.500
3 Se 0.000 0.500 0.500
4 Se 0.500 0.000 0.500
5 Br 0.500 0.500 0.000

[2]
A plane-wave DFT calculation with PBE-GGA was carried out for RbWSe2Br after structural relaxation.

Computed properties:
The energy relative to the elements, uncorrected comes out at 2.243 eV/atom. Its offset from the most stable computed form is 2654 meV per atom.

Unit cell a=5.592 b=5.592 c=5.682 alpha=90.00 beta=90.00 gamma=90.00
Atoms (fractional coordinates):
1 Rb 0.000 0.000 0.000
2 W 0.500 0.500 0.500
3 Se 0.000 0.500 0.000
4 Se 0.500 0.000 0.000
5 Br 0.000 0.000 0.500

[3]
A plane-wave DFT calculation with PBE-GGA was carried out for RbYSeBr2 after structural relaxation.

Computed properties:
The energy relative to the elements, uncorrected comes out at -0.168 eV/atom. Its offset from the most stable computed form is 1542 meV per atom.

Unit cell a=5.757 b=5.757 c=5.983 alpha=90.00 beta=90.00 gamma=90.00
Atoms (fractional coordinates):
1 Rb 0.000 0.000 0.000
2 Y 0.500 0.500 0.500
3 Se 0.000 0.000 0.500
4 Br 0.000 0.500 0.000
5 Br 0.500 0.000 0.000

[4]
A plane-wave DFT calculation with PBE-GGA was carried out for RbYSe2Br after structural relaxation.

Computed properties:
The energy relative to the elements, uncorrected comes out at -1.398 eV/atom. Its offset from the most stable computed form is 0 meV per atom.

Unit cell a=5.514 b=5.514 c=5.804 alpha=90.00 beta=90.00 gamma=90.00
Atoms (fractional coordinates):
1 Rb 0.000 0.000 0.000
2 Y 0.500 0.500 0.500
3 Se 0.000 0.500 0.500
4 Se 0.500 0.000 0.500
5 Br 0.500 0.500 0.000

[5]
A plane-wave DFT calculation with PBE-GGA was carried out for RbYSeBr2 after structural relaxation.

Computed properties:
The energy relative to the elements, uncorrected comes out at -1.710 eV/atom. Its offset from the most stable computed form is 0 meV per atom.

Unit cell a=5.711 b=5.711 c=5.481 alpha=90.00 beta=90.00 gamma=90.00
Atoms (fractional coordinates):
1 Rb 0.000 0.000 0.000
2 Y 0.500 0.500 0.500
3 Se 0.500 0.500 0.000
4 Br 0.000 0.500 0.500
5 Br 0.500 0.000 0.500

[6]
A plane-wave DFT calculation with PBE-GGA was carried out for RbYSe2Br after structural relaxation.

Computed properties:
The energy relative to the elements, uncorrected comes out at 0.116 eV/atom. Its offset from the most stable computed form is 1515 meV per atom.

Unit cell a=5.666 b=5.666 c=5.643 alpha=90.00 beta=90.00 gamma=90.00
Atoms (fractional coordinates):
1 Rb 0.000 0.000 0.000
2 Y 0.500 0.500 0.500
3 Se 0.000 0.500 0.000
4 Se 0.500 0.000 0.000
5 Br 0.000 0.000 0.500

[7]
A plane-wave DFT calculation with PBE-GGA was carried out for RbZnSe2Br after structural relaxation.

Computed properties:
The energy relative to the elements, uncorrected comes out at -0.502 eV/atom. Its offset from the most stable computed form is 0 meV per atom.

Unit cell a=4.924 b=4.924 c=6.131 alpha=90.00 beta=90.00 gamma=90.00
Atoms (fractional coordinates):
1 Rb 0.000 0.000 0.000
2 Zn 0.500 0.500 0.500
3 Se 0.000 0.500 0.500
4 Se 0.500 0.000 0.500
5 Br 0.500 0.500 0.000

[8]
A plane-wave DFT calculation with PBE-GGA was carried out for RbZnSe2Br after structural relaxation.

Computed properties:
The energy relative to the elements, uncorrected comes out at 0.571 eV/atom. Its offset from the most stable computed form is 1073 meV per atom.

Unit cell a=6.789 b=6.789 c=6.441 alpha=90.00 beta=90.00 gamma=90.00
Atoms (fractional coordinates):
1 Rb 0.000 0.000 0.000
2 Zn 0.500 0.500 0.500
3 Se 0.000 0.500 0.000
4 Se 0.500 0.000 0.000
5 Br 0.000 0.000 0.500

[9]
A plane-wave DFT calculation with PBE-GGA was carried out for RbZrSe2Br after structural relaxation.

Computed properties:
The energy relative to the elements, uncorrected comes out at -1.280 eV/atom. Its offset from the most stable computed form is 0 meV per atom.

Unit cell a=5.277 b=5.277 c=5.553 alpha=90.00 beta=90.00 gamma=90.00
Atoms (fractional coordinates):
1 Rb 0.000 0.000 0.000
2 Zr 0.500 0.500 0.500
3 Se 0.000 0.500 0.500
4 Se 0.500 0.000 0.500
5 Br 0.500 0.500 0.000

[10]
A plane-wave DFT calculation with PBE-GGA was carried out for RbZrSe2Br after structural relaxation.

Computed properties:
The energy relative to the elements, uncorrected comes out at 0.873 eV/atom. Its offset from the most stable computed form is 2153 meV per atom.

Unit cell a=5.650 b=5.650 c=5.676 alpha=90.00 beta=90.00 gamma=90.00
Atoms (fractional coordinates):
1 Rb 0.000 0.000 0.000
2 Zr 0.500 0.500 0.500
3 Se 0.000 0.500 0.000
4 Se 0.500 0.000 0.000
5 Br 0.000 0.000 0.500

[11]
A plane-wave DFT calculation with PBE-GGA was carried out for Rb2SiBr after structural relaxation.

Computed properties:
The energy relative to the elements, uncorrected comes out at -0.271 eV/atom. Its offset from the most stable computed form is 0 meV per atom.

Unit cell a=6.112 b=6.112 c=6.112 alpha=60.00 beta=60.00 gamma=60.00
Atoms (fractional coordinates):
1 Rb 0.250 0.250 0.250
2 Rb 0.750 0.750 0.750
3 Si 0.000 0.000 0.000
4 Br 0.500 0.500 0.500

[12]
A plane-wave DFT calculation with PBE-GGA was carried out for RbSiBr2 after structural relaxation.

Computed properties:
The energy relative to the elements, uncorrected comes out at -0.425 eV/atom. Its offset from the most stable computed form is 0 meV per atom.

Unit cell a=9.517 b=9.517 c=9.517 alpha=140.53 beta=140.53 gamma=57.04
Atoms (fractional coordinates):
1 Rb 0.000 0.000 0.000
2 Rb 0.750 0.250 0.500
3 Si 0.250 0.750 0.500
4 Si 0.500 0.500 0.000
5 Br 0.218 0.625 0.093
6 Br 0.375 0.468 0.593
7 Br 0.532 0.125 0.907
8 Br 0.875 0.782 0.407

[13]
A plane-wave DFT calculation with PBE-GGA was carried out for RbSiBr2 after structural relaxation.

Computed properties:
The energy relative to the elements, uncorrected comes out at -0.253 eV/atom. Its offset from the most stable computed form is 172 meV per atom.

Unit cell a=5.563 b=5.563 c=5.563 alpha=60.00 beta=60.00 gamma=60.00
Atoms (fractional coordinates):
1 Rb 0.000 0.000 0.000
2 Si 0.500 0.500 0.500
3 Br 0.250 0.250 0.250
4 Br 0.750 0.750 0.750

[14]
A plane-wave DFT calculation with PBE-GGA was carried out for Rb2SiBr4 after structural relaxation.

Computed properties:
The energy relative to the elements, uncorrected comes out at -1.144 eV/atom.

Unit cell a=9.502 b=9.502 c=9.502 alpha=146.79 beta=146.79 gamma=47.67
Atoms (fractional coordinates):
1 Rb 0.141 0.141 0.000
2 Rb 0.859 0.859 0.000
3 Si 0.500 0.500 0.000
4 Br 0.000 0.500 0.500
5 Br 0.340 0.340 0.000
6 Br 0.500 0.000 0.500
7 Br 0.660 0.660 0.000

[15]
A plane-wave DFT calculation with PBE-GGA was carried out for RbSi3Br after structural relaxation.

Computed properties:
The energy relative to the elements, uncorrected comes out at 2.120 eV/atom. Its offset from the most stable computed form is 1020 meV per atom.

Unit cell a=6.058 b=6.058 c=6.058 alpha=90.00 beta=90.00 gamma=90.00
Atoms (fractional coordinates):
1 Rb 0.000 0.000 0.000
2 Si 0.000 0.000 0.500
3 Si 0.000 0.500 0.000
4 Si 0.500 0.000 0.000
5 Br 0.500 0.500 0.500

[16]
A plane-wave DFT calculation with PBE-GGA was carried out for RbSi3Br after structural relaxation.

Computed properties:
The energy relative to the elements, uncorrected comes out at 1.100 eV/atom. Its offset from the most stable computed form is 0 meV per atom.

Unit cell a=5.270 b=5.270 c=5.270 alpha=90.00 beta=90.00 gamma=90.00
Atoms (fractional coordinates):
1 Rb 0.000 0.000 0.000
2 Si 0.000 0.500 0.500
3 Si 0.500 0.000 0.500
4 Si 0.500 0.500 0.000
5 Br 0.500 0.500 0.500

[17]
A plane-wave DFT calculation with PBE-GGA was carried out for Rb2SiBr after structural relaxation.

Computed properties:
The energy relative to the elements, uncorrected comes out at -0.230 eV/atom. Its offset from the most stable computed form is 41 meV per atom.

Unit cell a=8.331 b=8.331 c=8.331 alpha=113.49 beta=113.49 gamma=101.70
Atoms (fractional coordinates):
1 Rb 0.104 0.625 0.979
2 Rb 0.375 0.354 0.479
3 Rb 0.646 0.125 0.021
4 Rb 0.875 0.896 0.521
5 Si 0.250 0.750 0.500
6 Si 0.500 0.500 0.000
7 Br 0.000 0.000 0.000
8 Br 0.750 0.250 0.500

[18]
A plane-wave DFT calculation with PBE-GGA was carried out for Rb3Si5Br12 after structural relaxation.

Computed properties:
The energy relative to the elements, uncorrected comes out at -0.594 eV/atom.

Unit cell a=15.704 b=15.704 c=15.704 alpha=109.47 beta=109.47 gamma=109.47
Atoms (fractional coordinates):
1 Rb 0.125 0.250 0.375
2 Rb 0.125 0.375 0.750
3 Rb 0.250 0.375 0.125
4 Rb 0.250 0.875 0.625
5 Rb 0.375 0.125 0.250
6 Rb 0.375 0.750 0.125
7 Rb 0.625 0.250 0.875
8 Rb 0.625 0.875 0.750
9 Rb 0.750 0.125 0.375
10 Rb 0.750 0.625 0.875
11 Rb 0.875 0.625 0.250
12 Rb 0.875 0.750 0.625
13 Si 0.000 0.000 0.000
14 Si 0.000 0.000 0.500
15 Si 0.000 0.500 0.000
16 Si 0.000 0.500 0.500
17 Si 0.125 0.750 0.875
18 Si 0.125 0.875 0.250
19 Si 0.250 0.125 0.875
20 Si 0.250 0.625 0.375
21 Si 0.375 0.250 0.625
22 Si 0.375 0.625 0.750
23 Si 0.500 0.000 0.000
24 Si 0.500 0.000 0.500
25 Si 0.500 0.500 0.000
26 Si 0.500 0.500 0.500
27 Si 0.625 0.375 0.250
28 Si 0.625 0.750 0.375
29 Si 0.750 0.375 0.625
30 Si 0.750 0.875 0.125
31 Si 0.875 0.125 0.750
32 Si 0.875 0.250 0.125
33 Br 0.009 0.188 0.109
34 Br 0.009 0.321 0.901
35 Br 0.079 0.688 0.679
36 Br 0.079 0.891 0.401
37 Br 0.099 0.609 0.421
38 Br 0.099 0.991 0.679
39 Br 0.109 0.009 0.188
40 Br 0.109 0.599 0.921
41 Br 0.179 0.188 0.579
42 Br 0.179 0.491 0.599
43 Br 0.188 0.109 0.009
44 Br 0.188 0.579 0.179
45 Br 0.312 0.321 0.921
46 Br 0.312 0.491 0.391
47 Br 0.321 0.901 0.009
48 Br 0.321 0.921 0.312
49 Br 0.391 0.312 0.491
50 Br 0.391 0.579 0.901
51 Br 0.401 0.079 0.891
52 Br 0.401 0.821 0.509
53 Br 0.421 0.099 0.609
54 Br 0.421 0.821 0.812
55 Br 0.491 0.391 0.312
56 Br 0.491 0.599 0.179
57 Br 0.509 0.401 0.821
58 Br 0.509 0.609 0.688
59 Br 0.579 0.179 0.188
60 Br 0.579 0.901 0.391
61 Br 0.599 0.179 0.491
62 Br 0.599 0.921 0.109
63 Br 0.609 0.421 0.099
64 Br 0.609 0.688 0.509
65 Br 0.679 0.079 0.688
66 Br 0.679 0.099 0.991
67 Br 0.688 0.509 0.609
68 Br 0.688 0.679 0.079
69 Br 0.812 0.421 0.821
70 Br 0.812 0.891 0.991
71 Br 0.821 0.509 0.401
72 Br 0.821 0.812 0.421
73 Br 0.891 0.401 0.079
74 Br 0.891 0.991 0.812
75 Br 0.901 0.009 0.321
76 Br 0.901 0.391 0.579
77 Br 0.921 0.109 0.599
78 Br 0.921 0.312 0.321
79 Br 0.991 0.679 0.099
80 Br 0.991 0.812 0.891

[19]
A plane-wave DFT calculation with PBE-GGA was carried out for RbSiBr2 after structural relaxation.

Computed properties:
The energy relative to the elements, uncorrected comes out at -0.407 eV/atom. Its offset from the most stable computed form is 19 meV per atom.

Unit cell a=9.922 b=9.922 c=9.922 alpha=25.87 beta=25.87 gamma=25.87
Atoms (fractional coordinates):
1 Rb 0.000 0.000 0.000
2 Si 0.500 0.500 0.500
3 Br 0.410 0.410 0.410
4 Br 0.590 0.590 0.590

[20]
A plane-wave DFT calculation with PBE-GGA was carried out for Rb2SrSiBr6 after structural relaxation.

Computed properties:
The energy relative to the elements, uncorrected comes out at -1.393 eV/atom.

Unit cell a=8.130 b=8.130 c=8.130 alpha=60.00 beta=60.00 gamma=60.00
Atoms (fractional coordinates):
1 Rb 0.250 0.250 0.250
2 Rb 0.750 0.750 0.750
3 Sr 0.000 0.000 0.000
4 Si 0.500 0.500 0.500
5 Br 0.261 0.261 0.739
6 Br 0.261 0.739 0.261
7 Br 0.261 0.739 0.739
8 Br 0.739 0.261 0.261
9 Br 0.739 0.261 0.739
10 Br 0.739 0.739 0.261

[21]
A plane-wave DFT calculation with PBE-GGA was carried out for Rb2TaSiBr6 after structural relaxation.

Computed properties:
The energy relative to the elements, uncorrected comes out at -0.776 eV/atom.

Unit cell a=7.773 b=7.773 c=7.773 alpha=120.19 beta=120.19 gamma=89.67
Atoms (fractional coordinates):
1 Rb 0.250 0.750 0.500
2 Rb 0.750 0.250 0.500
3 Ta 0.000 0.000 0.000
4 Si 0.500 0.500 0.000
5 Br 0.243 0.243 0.000
6 Br 0.244 0.244 0.488
7 Br 0.244 0.756 0.000
8 Br 0.756 0.244 0.000
9 Br 0.756 0.756 0.512
10 Br 0.757 0.757 0.000

[22]
A plane-wave DFT calculation with PBE-GGA was carried out for Rb2SiTeBr6 after structural relaxation.

Computed properties:
The energy relative to the elements, uncorrected comes out at -0.839 eV/atom.

Unit cell a=7.931 b=7.931 c=7.931 alpha=120.22 beta=120.22 gamma=89.62
Atoms (fractional coordinates):
1 Rb 0.250 0.750 0.500
2 Rb 0.750 0.250 0.500
3 Si 0.000 0.000 0.000
4 Te 0.500 0.500 0.000
5 Br 0.227 0.227 0.000
6 Br 0.230 0.230 0.459
7 Br 0.230 0.770 0.000
8 Br 0.770 0.230 0.000
9 Br 0.770 0.770 0.541
10 Br 0.773 0.773 0.000

[23]
A plane-wave DFT calculation with PBE-GGA was carried out for Rb2TiSiBr6 after structural relaxation.

Computed properties:
The energy relative to the elements, uncorrected comes out at -1.057 eV/atom.

Unit cell a=7.684 b=7.684 c=7.684 alpha=119.98 beta=119.98 gamma=90.04
Atoms (fractional coordinates):
1 Rb 0.250 0.750 0.500
2 Rb 0.750 0.250 0.500
3 Ti 0.000 0.000 0.000
4 Si 0.500 0.500 0.000
5 Br 0.247 0.247 0.000
6 Br 0.247 0.247 0.494
7 Br 0.247 0.753 0.000
8 Br 0.753 0.247 0.000
9 Br 0.753 0.753 0.000
10 Br 0.753 0.753 0.506